VASP calculation (PBE-GGA) on an optimized crystal structure of LuIrRh2.

- Energy above the most stable polymorph in this dataset: 0.2864 eV per atom
- Space group: R-3m, No. 166
- Theoretical density: 14.28 g cm⁻³
- Formation energy from the elements: -286 meV/atom

Cell lengths 4.5814, 4.5814, 4.5814 Å; angles 59.11, 59.11, 59.11 degrees
Fractional coordinates of all 4 atoms:
Lu  0.0000  0.0000  0.0000
Ir  0.5000  0.5000  0.5000
Rh  0.2340  0.2340  0.2340
Rh  0.7660  0.7660  0.7660